[1]
! Ba2GaP | the Alexandria database | GGA-PBE | relaxed; values from VASP
! formation energy from the elements	-33.54	kJ/mol of atoms
&SYSTEM
  ibrav = 0, nat = 4, ntyp = 3
/
ATOMIC_SPECIES
Ba 137.33 Ba.upf
Ga 69.72 Ga.upf
P 30.97 P.upf
CELL_PARAMETERS angstrom
4.536 0.000 0.000
2.268 3.928 0.000
2.268 1.309 10.457
ATOMIC_POSITIONS crystal
Ba 0.889 0.889 0.334
Ga 0.000 0.000 0.000
P 0.500 0.500 0.500
Ba 0.111 0.111 0.666


[2]
! Nd6Fe13Si | the Alexandria database | GGA-PBE | relaxed; values from VASP
! raw formation energy	-0.068	eV/atom
&SYSTEM
  ibrav = 0, nat = 40, ntyp = 3
/
ATOMIC_SPECIES
Nd 144.24 Nd.upf
Fe 55.84 Fe.upf
Si 28.09 Si.upf
CELL_PARAMETERS angstrom
-9.588 -4.243 -7.345
0.266 -9.734 -8.310
3.083 3.434 11.941
ATOMIC_POSITIONS crystal
Nd 0.109 0.109 0.000
Fe 0.381 0.881 0.142
Fe 0.517 0.791 0.500
Fe 0.709 0.983 0.500
Fe 0.209 0.709 0.726
Fe 0.619 0.119 0.858
Nd 0.023 0.856 0.500
Fe 0.791 0.934 0.725
Fe 0.017 0.517 0.726
Fe 0.566 0.709 0.275
Fe 0.209 0.066 0.275
Fe 0.983 0.483 0.274
Fe 0.709 0.434 0.143
Nd 0.144 0.644 0.167
Fe 0.239 0.381 0.500
Si 0.250 0.250 0.000
Nd 0.856 0.356 0.833
Nd 0.477 0.977 0.833
Fe 0.119 0.261 0.500
Si 0.750 0.750 0.000
Fe 0.881 0.739 0.500
Nd 0.891 0.891 0.000
Nd 0.609 0.609 0.000
Fe 0.000 0.500 0.500
Fe 0.761 0.619 0.500
Fe 0.500 0.000 0.500
Nd 0.977 0.144 0.500
Fe 0.434 0.291 0.725
Fe 0.291 0.566 0.857
Fe 0.934 0.209 0.143
Fe 0.291 0.017 0.500
Nd 0.644 0.477 0.500
Nd 0.391 0.391 0.000
Fe 0.483 0.209 0.500
Nd 0.523 0.023 0.167
Fe 0.791 0.291 0.274
Fe 0.739 0.239 0.858
Fe 0.261 0.761 0.142
Fe 0.066 0.791 0.857
Nd 0.356 0.523 0.500


[3]
! TaNbGePb2 | the Alexandria database | GGA-PBE | relaxed; values from VASP
! formation energy from the elements	143.79	kJ/mol of atoms
&SYSTEM
  ibrav = 0, nat = 5, ntyp = 4
/
ATOMIC_SPECIES
Ta 180.95 Ta.upf
Pb 207.20 Pb.upf
Nb 92.91 Nb.upf
Ge 72.64 Ge.upf
CELL_PARAMETERS angstrom
5.259 0.000 0.000
0.000 4.827 0.000
0.000 0.000 5.259
ATOMIC_POSITIONS crystal
Ta 0.500 0.500 0.500
Pb 0.500 0.000 0.000
Nb 0.000 0.500 0.000
Pb 0.000 0.000 0.500
Ge 0.000 0.000 0.000


[4]
! GeSeIO2 | the Alexandria database | GGA-PBE | relaxed; values from VASP
! raw formation energy	-0.174	eV/atom
&SYSTEM
  ibrav = 0, nat = 5, ntyp = 4
/
ATOMIC_SPECIES
Se 78.96 Se.upf
O 16.00 O.upf
Ge 72.64 Ge.upf
I 126.90 I.upf
CELL_PARAMETERS angstrom
3.841 0.000 0.000
0.000 3.841 0.000
0.000 0.000 6.882
ATOMIC_POSITIONS crystal
Se 0.500 0.500 0.500
O 0.500 0.000 0.000
Ge 0.000 0.000 0.000
I 0.000 0.000 0.500
O 0.000 0.500 0.000


| no. | E_tot (eV per atom) |
| --- | --- |
| 1 | -3.418 |
| 2 | -7.270 |
| 3 | -5.301 |
| 4 | -4.088 |